A plane-wave DFT calculation with meta-GGA SCAN was carried out for a crystal of MnCrOs2 relaxed with PBEsol.

Lattice parameters (Å, degrees): 4.5510 4.5510 4.5510 132.24 132.24 69.84
With the nearest neighbours (Å) after each atom.
Atoms (fractional coordinates):
Mn: 0.0000 0.0000 0.0000  8 Os 2.61-2.62, 4 Cr 2.62
Cr: 0.2500 0.7500 0.5000  8 Os 2.61-2.62, 4 Mn 2.62
Os: 0.5000 0.5000 0.0000  4 Mn 2.61, 4 Cr 2.62, 4 Os 2.62
Os: 0.7500 0.2500 0.5000  4 Cr 2.61, 4 Os 2.62, 4 Mn 2.62

Results
As for the formation energy from the elements: -55 meV per atom.